DFT (PBE-GGA) results for GdCo5P3 after structural relaxation.

Calculated density, g cm⁻³: 8.20
Total DFT energy (no corrections), Ry/atom: -0.522
Space-group type: Pnma

abc: 11.740 3.656 10.285
angles: 90.00 90.00 90.00
Fractional coordinates of all 36 atoms:
Gd (0.703, 0.250, 0.583)
Gd (0.797, 0.750, 0.083)
Gd (0.297, 0.750, 0.417)
Gd (0.203, 0.250, 0.917)
P (0.892, 0.250, 0.897)
P (0.130, 0.750, 0.728)
P (0.630, 0.750, 0.772)
P (0.111, 0.250, 0.418)
P (0.370, 0.250, 0.228)
P (0.108, 0.750, 0.103)
P (0.889, 0.750, 0.582)
P (0.611, 0.250, 0.082)
P (0.608, 0.750, 0.397)
P (0.870, 0.250, 0.272)
P (0.392, 0.250, 0.603)
P (0.389, 0.750, 0.918)
Co (0.512, 0.750, 0.594)
Co (0.489, 0.250, 0.785)
Co (0.824, 0.750, 0.780)
Co (0.989, 0.250, 0.715)
Co (0.432, 0.250, 0.032)
Co (0.698, 0.250, 0.883)
Co (0.011, 0.750, 0.285)
Co (0.302, 0.750, 0.117)
Co (0.198, 0.250, 0.617)
Co (0.324, 0.750, 0.720)
Co (0.176, 0.250, 0.220)
Co (0.802, 0.750, 0.383)
Co (0.568, 0.750, 0.968)
Co (0.676, 0.250, 0.280)
Co (0.988, 0.250, 0.094)
Co (0.488, 0.250, 0.406)
Co (0.511, 0.750, 0.215)
Co (0.932, 0.250, 0.468)
Co (0.068, 0.750, 0.532)
Co (0.012, 0.750, 0.906)

DFT (PBE-GGA) results for GdHgAsO after structural relaxation.

Calculated density, g cm⁻³: 8.20
Total DFT energy (no corrections), Ry/atom: -0.360
Space-group type: Pmc2_1

abc: 4.247 6.231 6.872
angles: 90.00 90.00 90.00
Fractional coordinates of all 8 atoms:
As (0.000, 0.711, 0.322)
As (0.000, 0.289, 0.822)
Gd (0.500, 0.537, 0.584)
Gd (0.500, 0.463, 0.084)
O (0.500, 0.716, 0.859)
O (0.500, 0.284, 0.359)
Hg (0.000, 0.920, 0.988)
Hg (0.000, 0.080, 0.488)

DFT (PBE-GGA) results for YHo2Al3Si2Ir after structural relaxation.

Calculated density, g cm⁻³: 7.16
Total DFT energy (no corrections), Ry/atom: -0.444
Space-group type: Amm2

abc: 4.213 6.899 6.899
angles: 120.05 90.00 90.00
Fractional coordinates of all 9 atoms:
Ho (0.000, 0.416, 0.000)
Ho (0.000, 0.000, 0.416)
Si (0.500, 0.667, 0.332)
Si (0.500, 0.332, 0.667)
Y (0.000, 0.583, 0.583)
Al (0.500, 0.767, 0.000)
Al (0.500, 0.000, 0.767)
Al (0.500, 0.233, 0.233)
Ir (0.000, 0.002, 0.002)

DFT (PBE-GGA) results for Tb2NdCd3Ag3 after structural relaxation.

Calculated density, g cm⁻³: 8.69
Total DFT energy (no corrections), Ry/atom: -0.230
Space-group type: Amm2
ΔH_f (0 K), kJ per mole of atoms: -32.5

abc: 3.959 7.919 7.919
angles: 120.19 90.00 90.00
Fractional coordinates of all 9 atoms:
Tb (0.000, 0.405, 0.000)
Tb (0.000, 0.000, 0.405)
Ag (0.500, 0.668, 0.329)
Ag (0.000, 0.002, 0.002)
Ag (0.500, 0.329, 0.668)
Cd (0.500, 0.260, 0.260)
Cd (0.500, 0.002, 0.739)
Cd (0.500, 0.739, 0.002)
Nd (0.000, 0.595, 0.595)

DFT (PBE-GGA) results for Tb2MgCd after structural relaxation.

Calculated density, g cm⁻³: 7.12
Total DFT energy (no corrections), Ry/atom: -0.223
Space-group type: Ama2

abc: 5.349 6.836 6.836
angles: 121.93 90.00 90.00
Fractional coordinates of all 8 atoms:
Tb (0.250, 0.159, 0.812)
Tb (0.750, 0.342, 0.188)
Tb (0.750, 0.812, 0.159)
Tb (0.250, 0.188, 0.342)
Cd (0.250, 0.670, 0.327)
Cd (0.750, 0.327, 0.670)
Mg (0.750, 0.829, 0.673)
Mg (0.250, 0.673, 0.829)

DFT (PBE-GGA) results for Al10W3 after structural relaxation.

Calculated density, g cm⁻³: 6.54
Total DFT energy (no corrections), Ry/atom: -0.425
Space-group type: R-3m

abc: 9.853 9.853 9.853
angles: 29.75 29.75 29.75
Fractional coordinates of all 13 atoms:
Al (0.342, 0.342, 0.342)
Al (0.088, 0.088, 0.587)
Al (0.658, 0.658, 0.658)
Al (0.835, 0.835, 0.835)
Al (0.413, 0.912, 0.912)
Al (0.912, 0.413, 0.912)
Al (0.165, 0.165, 0.165)
Al (0.088, 0.587, 0.088)
Al (0.912, 0.912, 0.413)
Al (0.587, 0.088, 0.088)
W (0.543, 0.543, 0.543)
W (0.457, 0.457, 0.457)
W (0.000, 0.000, 0.000)

DFT (PBE-GGA) results for BaTl2Hg after structural relaxation.

Calculated density, g cm⁻³: 10.11
Total DFT energy (no corrections), Ry/atom: -0.151
Space-group type: F-43m

abc: 5.576 5.576 5.576
angles: 60.00 60.00 60.00
Fractional coordinates of all 4 atoms:
Tl (0.000, 0.000, 0.000)
Tl (0.750, 0.750, 0.750)
Ba (0.500, 0.500, 0.500)
Hg (0.250, 0.250, 0.250)

DFT (PBE-GGA) results for Sr2ReS4 after structural relaxation.

Calculated density, g cm⁻³: 4.48
Total DFT energy (no corrections), Ry/atom: -0.420
Space-group type: Ama2

abc: 9.952 6.218 6.218
angles: 109.40 90.00 90.00
Fractional coordinates of all 14 atoms:
S (0.250, 0.471, 0.614)
S (0.564, 0.364, 0.918)
S (0.250, 0.042, 0.897)
S (0.436, 0.918, 0.364)
S (0.936, 0.364, 0.918)
S (0.750, 0.614, 0.471)
S (0.750, 0.897, 0.042)
S (0.064, 0.918, 0.364)
Re (0.750, 0.551, 0.092)
Re (0.250, 0.092, 0.551)
Sr (0.000, 0.786, 0.786)
Sr (0.250, 0.523, 0.133)
Sr (0.500, 0.786, 0.786)
Sr (0.750, 0.133, 0.523)

DFT (PBE-GGA) results for KLiPt after structural relaxation.

Calculated density, g cm⁻³: 4.91
Total DFT energy (no corrections), Ry/atom: -0.217
Space-group type: F-43m

abc: 4.869 4.869 4.869
angles: 60.00 60.00 60.00
Fractional coordinates of all 3 atoms:
Pt (0.000, 0.000, 0.000)
Li (0.750, 0.750, 0.750)
K (0.250, 0.250, 0.250)

DFT (PBE-GGA) results for ZrNi after structural relaxation.

Calculated density, g cm⁻³: 7.59
Total DFT energy (no corrections), Ry/atom: -0.532
Space-group type: Amm2
ΔH_f (0 K), kJ per mole of atoms: -17.4

abc: 4.713 8.045 4.526
angles: 90.00 90.00 72.96
Fractional coordinates of all 10 atoms:
Zr (0.581, 0.035, 0.500)
Zr (0.038, 0.042, 0.000)
Zr (0.280, 0.558, 0.000)
Zr (0.815, 0.565, 0.500)
Zr (0.216, 0.800, 0.500)
Ni (0.839, 0.382, 0.000)
Ni (0.673, 0.800, 0.000)
Ni (0.445, 0.381, 0.500)
Ni (0.026, 0.219, 0.500)
Ni (0.421, 0.218, 0.000)

DFT (PBE-GGA) results for NaTl2NiI6 after structural relaxation.

Calculated density, g cm⁻³: 5.58
Total DFT energy (no corrections), Ry/atom: -0.184
Space-group type: Fm-3m

abc: 8.075 8.075 8.075
angles: 60.00 60.00 60.00
Fractional coordinates of all 10 atoms:
I (0.733, 0.267, 0.733)
I (0.733, 0.733, 0.267)
I (0.267, 0.733, 0.267)
I (0.733, 0.267, 0.267)
I (0.267, 0.267, 0.733)
I (0.267, 0.733, 0.733)
Tl (0.250, 0.250, 0.250)
Tl (0.750, 0.750, 0.750)
Ni (0.500, 0.500, 0.500)
Na (0.000, 0.000, 0.000)

DFT (PBE-GGA) results for NaSmPt after structural relaxation.

Calculated density, g cm⁻³: 7.75
Total DFT energy (no corrections), Ry/atom: -0.335
Space-group type: F-43m

abc: 4.815 4.815 4.815
angles: 60.00 60.00 60.00
Fractional coordinates of all 3 atoms:
Na (0.250, 0.250, 0.250)
Pt (0.000, 0.000, 0.000)
Sm (0.750, 0.750, 0.750)

DFT (PBE-GGA) results for TeMoI7 after structural relaxation.

Calculated density, g cm⁻³: 3.79
Total DFT energy (no corrections), Ry/atom: -0.203
Space-group type: Pc

abc: 7.669 7.711 16.839
angles: 90.00 101.90 90.00
Fractional coordinates of all 18 atoms:
I (0.658, 0.654, 0.325)
I (0.285, 0.614, 0.464)
I (0.886, 0.620, 0.617)
I (0.663, 0.143, 0.480)
I (0.658, 0.346, 0.825)
I (0.023, 0.144, 0.350)
I (0.478, 0.893, 0.721)
I (0.223, 0.177, 0.610)
I (0.023, 0.856, 0.850)
I (0.223, 0.823, 0.110)
I (0.285, 0.386, 0.964)
I (0.663, 0.857, 0.980)
I (0.886, 0.380, 0.117)
I (0.478, 0.107, 0.221)
Mo (0.713, 0.010, 0.846)
Mo (0.713, 0.990, 0.346)
Te (0.008, 0.582, 0.003)
Te (0.008, 0.418, 0.503)

DFT (PBE-GGA) results for CsSiAuS3 after structural relaxation.

Calculated density, g cm⁻³: 5.07
Total DFT energy (no corrections), Ry/atom: -0.296
Space-group type: Cmcm

abc: 8.910 8.910 9.659
angles: 90.00 90.00 157.19
Fractional coordinates of all 12 atoms:
Au (0.607, 0.393, 0.250)
Au (0.393, 0.607, 0.750)
S (0.407, 0.593, 0.987)
S (0.037, 0.963, 0.750)
S (0.407, 0.593, 0.513)
S (0.593, 0.407, 0.487)
S (0.593, 0.407, 0.013)
S (0.963, 0.037, 0.250)
Cs (0.285, 0.715, 0.250)
Cs (0.715, 0.285, 0.750)
Si (0.000, 0.000, 0.000)
Si (0.000, 0.000, 0.500)

DFT (PBE-GGA) results for SmTlAg after structural relaxation.

Calculated density, g cm⁻³: 9.32
Total DFT energy (no corrections), Ry/atom: -0.258
Space-group type: F-43m

abc: 4.885 4.885 4.885
angles: 60.00 60.00 60.00
Fractional coordinates of all 3 atoms:
Tl (0.750, 0.750, 0.750)
Sm (0.250, 0.250, 0.250)
Ag (0.000, 0.000, 0.000)

DFT (PBE-GGA) results for ErSbN2O after structural relaxation.

Calculated density, g cm⁻³: 8.90
Total DFT energy (no corrections), Ry/atom: -0.519
Space-group type: Pnma

abc: 5.657 8.066 5.450
angles: 90.00 90.00 90.00
Fractional coordinates of all 20 atoms:
Sb (0.500, 0.000, 0.000)
Sb (0.500, 0.500, 0.000)
Sb (0.000, 0.500, 0.500)
Sb (0.000, 0.000, 0.500)
O (0.454, 0.750, 0.874)
O (0.546, 0.250, 0.126)
O (0.954, 0.750, 0.626)
O (0.046, 0.250, 0.374)
N (0.699, 0.064, 0.696)
N (0.301, 0.564, 0.304)
N (0.801, 0.564, 0.196)
N (0.699, 0.436, 0.696)
N (0.301, 0.936, 0.304)
N (0.199, 0.436, 0.804)
N (0.801, 0.936, 0.196)
N (0.199, 0.064, 0.804)
Er (0.563, 0.750, 0.473)
Er (0.063, 0.750, 0.027)
Er (0.937, 0.250, 0.973)
Er (0.437, 0.250, 0.527)

DFT (PBE-GGA) results for Hf2CuPb after structural relaxation.

Calculated density, g cm⁻³: 12.36
Total DFT energy (no corrections), Ry/atom: -0.466
Space-group type: F-43m

abc: 4.923 4.923 4.923
angles: 60.00 60.00 60.00
Fractional coordinates of all 4 atoms:
Cu (0.250, 0.250, 0.250)
Hf (0.000, 0.000, 0.000)
Hf (0.750, 0.750, 0.750)
Pb (0.500, 0.500, 0.500)

DFT (PBE-GGA) results for Y2Si4IrPd after structural relaxation.

Calculated density, g cm⁻³: 6.75
Total DFT energy (no corrections), Ry/atom: -0.512
Space-group type: Amm2

abc: 4.208 8.594 8.594
angles: 27.77 90.00 90.00
Fractional coordinates of all 8 atoms:
Si (0.500, 0.246, 0.246)
Si (0.000, 0.750, 0.750)
Si (0.000, 0.037, 0.037)
Si (0.500, 0.967, 0.967)
Y (0.500, 0.603, 0.603)
Y (0.000, 0.395, 0.395)
Pd (0.500, 0.825, 0.825)
Ir (0.000, 0.177, 0.177)

DFT (PBE-GGA) results for Sc2Cu2Ag after structural relaxation.

Calculated density, g cm⁻³: 5.57
Total DFT energy (no corrections), Ry/atom: -0.330
Space-group type: I4/mmm
ΔH_f (0 K), kJ per mole of atoms: 9.1

abc: 4.536 4.536 5.698
angles: 113.45 113.45 90.00
Fractional coordinates of all 5 atoms:
Ag (0.000, 0.000, 0.000)
Cu (0.383, 0.383, 0.766)
Cu (0.617, 0.617, 0.234)
Sc (0.750, 0.250, 0.500)
Sc (0.250, 0.750, 0.500)

DFT (PBE-GGA) results for TaTl2 after structural relaxation.

Calculated density, g cm⁻³: 3.96
Total DFT energy (no corrections), Ry/atom: -0.271
Space-group type: Fd-3m

abc: 8.875 8.875 8.875
angles: 60.00 60.00 60.00
Fractional coordinates of all 6 atoms:
Tl (0.875, 0.375, 0.375)
Tl (0.375, 0.375, 0.375)
Tl (0.375, 0.875, 0.375)
Tl (0.375, 0.375, 0.875)
Ta (0.250, 0.250, 0.250)
Ta (0.500, 0.500, 0.500)

DFT (PBE-GGA) results for NaTaAgSe3 after structural relaxation.

Calculated density, g cm⁻³: 6.92
Total DFT energy (no corrections), Ry/atom: -0.363
Space-group type: Cmcm

abc: 3.690 7.231 10.214
angles: 90.00 90.00 75.22
Fractional coordinates of all 12 atoms:
Ta (0.000, 0.000, 0.500)
Ta (0.000, 0.000, 0.000)
Na (0.241, 0.518, 0.750)
Na (0.759, 0.482, 0.250)
Se (0.635, 0.730, 0.969)
Se (0.365, 0.270, 0.031)
Se (0.635, 0.730, 0.531)
Se (0.084, 0.831, 0.250)
Se (0.916, 0.169, 0.750)
Se (0.365, 0.270, 0.469)
Ag (0.550, 0.900, 0.750)
Ag (0.450, 0.100, 0.250)

DFT (PBE-GGA) results for LiNdHf after structural relaxation.

Calculated density, g cm⁻³: 6.88
Total DFT energy (no corrections), Ry/atom: -0.321
Space-group type: F-43m

abc: 4.829 4.829 4.829
angles: 60.00 60.00 60.00
Fractional coordinates of all 3 atoms:
Nd (0.000, 0.000, 0.000)
Hf (0.250, 0.250, 0.250)
Li (0.750, 0.750, 0.750)

DFT (PBE-GGA) results for LaLuIn after structural relaxation.

Calculated density, g cm⁻³: 6.88
Total DFT energy (no corrections), Ry/atom: -0.306
Space-group type: F-43m

abc: 5.271 5.271 5.271
angles: 60.00 60.00 60.00
Fractional coordinates of all 3 atoms:
La (0.250, 0.250, 0.250)
Lu (0.750, 0.750, 0.750)
In (0.000, 0.000, 0.000)